[1]
The following is a GGA-PBE calculation of crystalline ErSnPb at its relaxed geometry, from Alexandria.

Cell: 3.866 3.866 11.107 Å, 90.00 90.00 90.00°
Space group I4mm (No. 107)
Asymmetric unit:
Er 0.000 0.000 0.000 x2
Sn 0.000 0.000 0.658 x2
Pb 0.000 0.000 0.325 x2

Results
- Calculated volume: 27.67 A^3/atom
- Raw total energy: -4.345 eV per atom
- Energy relative to the elements: -0.25 eV per atom
- E above lowest polymorph: 0.195 eV per atom

[2]
The following is a GGA-PBE calculation of crystalline BiTe2NF at its relaxed geometry, from Alexandria.

Cell: 4.664 4.664 4.667 Å, 90.00 90.00 90.00°
Space group P4/mmm (No. 123)
Asymmetric unit:
Bi 0.000 0.000 0.000 x1
Te 0.000 0.500 0.500 x2
N 0.500 0.500 0.500 x1
F 0.500 0.500 0.000 x1

Results
- Calculated volume: 20.30 A^3/atom
- Raw total energy: -3.804 eV per atom
- Raw formation energy: 268 meV per atom
- E above lowest polymorph: 0.000 eV per atom

[3]
The following is a GGA-PBE calculation of crystalline LaCdTc2 at its relaxed geometry, from Alexandria.

Cell: 11.225 3.343 4.961 Å, 90.00 115.06 90.00°
Space group Cm (No. 8)
Asymmetric unit:
La 0.000 0.000 0.000 x2
Cd 0.287 0.500 0.295 x2
Tc 0.046 0.500 0.543 x2
Tc 0.223 0.000 0.730 x2

Results
- Calculated volume: 21.08 A^3/atom
- Raw total energy: -6.313 eV per atom
- Energy relative to the elements: 0.33 eV per atom

[4]
The following is a GGA-PBE calculation of crystalline Dy4GaPd3 at its relaxed geometry, from Alexandria.

Cell: 3.757 4.499 10.768 Å, 90.00 90.00 90.00°
Space group Pmm2 (No. 25)
Asymmetric unit:
Dy 0.000 0.000 0.000 x1
Dy 0.000 0.500 0.271 x1
Dy 0.500 0.000 0.488 x1
Dy 0.500 0.500 0.776 x1
Ga 0.000 0.000 0.713 x1
Pd 0.000 0.500 0.555 x1
Pd 0.500 0.000 0.220 x1
Pd 0.500 0.500 0.050 x1

Results
- Calculated volume: 22.75 A^3/atom
- Raw total energy: -5.465 eV per atom
- Energy relative to the elements: -0.84 eV per atom

[5]
The following is a GGA-PBE calculation of crystalline ZrOsSe2 at its relaxed geometry, from Alexandria.

Cell: 3.724 4.153 13.156 Å, 90.00 90.00 90.00°
Space group Immm (No. 71)
Asymmetric unit:
Zr 0.000 0.000 0.000 x2
Os 0.000 0.000 0.500 x2
Se 0.000 0.500 0.137 x4

Results
- Calculated volume: 25.43 A^3/atom
- Raw total energy: -7.216 eV per atom
- Raw formation energy: -529 meV per atom
- E above lowest polymorph: 0.000 eV per atom

[6]
The following is a GGA-PBE calculation of crystalline Mg2IrOs at its relaxed geometry, from Alexandria.

Cell: 2.764 4.393 5.111 Å, 90.00 95.74 90.00°
Space group P2/m (No. 10)
Asymmetric unit:
Mg 0.243 0.000 0.251 x2
Ir 0.000 0.500 0.500 x1
Os 0.500 0.500 0.000 x1

Results
- Calculated volume: 15.44 A^3/atom
- Raw total energy: -5.772 eV per atom
- Energy relative to the elements: 0.05 eV per atom
- E above lowest polymorph: 0.127 eV per atom